A relaxed KTlAgHg2 crystal. Source: the Alexandria database, functional GGA-PBE.

a b c (Å): 5.516 5.516 5.625
angles (deg): 90.00 90.00 90.00
Fractional coordinates of all 5 atoms:
K: 0.500 0.500 0.500
Tl: 0.000 0.000 0.500
Hg: 0.000 0.500 0.000
Hg: 0.500 0.000 0.000
Ag: 0.000 0.000 0.000

Calculated values
* Fermi-level density of states: 3.16 states/eV per cell
* V: 171 Å³ per cell
* energy of formation: 0.00 eV per atom